# 1
VASP calculation (GGA-PBEsol) on a relaxed BeSeO2 crystal.

Calculated values
* E_form (uncorrected): -1.260 eV per atom
* space-group type: No. 166
* energy above the most stable polymorph in this dataset: 0.000 eV/atom
* calculated volume: 9.482 Å³/atom
* magnetic moment: 0.00 μB per cell

abc: 2.778 2.778 17.023
angles: 90.00 90.00 120.00
Atoms (fractional coordinates):
1 Be 0.000 0.000 0.000
2 Be 0.333 0.667 0.667
3 Be 0.667 0.333 0.333
4 Se 0.000 0.000 0.500
5 Se 0.333 0.667 0.167
6 Se 0.667 0.333 0.833
7 O 0.000 0.000 0.388
8 O 0.000 0.000 0.612
9 O 0.333 0.667 0.055
10 O 0.333 0.667 0.278
11 O 0.667 0.333 0.722
12 O 0.667 0.333 0.945

***

# 2
VASP calculation (GGA-PBEsol) on a relaxed Be2SeO crystal.

Calculated values
* E_form (uncorrected): -1.501 eV per atom
* space-group type: No. 122
* calculated volume: 11.152 Å³/atom
* magnetic moment: 0.00 μB per cell

abc: 4.482 4.482 8.881
angles: 90.00 90.00 90.00
Atoms (fractional coordinates):
1 Be 0.155 0.250 0.125
2 Be 0.250 0.655 0.375
3 Be 0.250 0.845 0.875
4 Be 0.345 0.250 0.625
5 Be 0.655 0.750 0.625
6 Be 0.750 0.155 0.875
7 Be 0.750 0.345 0.375
8 Be 0.845 0.750 0.125
9 Se 0.000 0.000 0.500
10 Se 0.000 0.500 0.750
11 Se 0.500 0.000 0.250
12 Se 0.500 0.500 0.000
13 O 0.000 0.000 0.000
14 O 0.000 0.500 0.250
15 O 0.500 0.000 0.750
16 O 0.500 0.500 0.500

***

# 3
VASP calculation (GGA-PBEsol) on a relaxed Be3V2Si3O12 crystal.

Calculated values
* E_form (uncorrected): -2.495 eV per atom
* space-group type: No. 14
* calculated volume: 9.973 Å³/atom
* magnetic moment: 16.00 μB per cell

abc: 7.923 7.375 15.754
angles: 90.00 119.93 90.00
Atoms (fractional coordinates):
1 Be 0.029 0.142 0.415
2 Be 0.029 0.358 0.915
3 Be 0.311 0.140 0.235
4 Be 0.311 0.360 0.735
5 Be 0.332 0.650 0.404
6 Be 0.332 0.850 0.904
7 Be 0.668 0.150 0.096
8 Be 0.668 0.350 0.596
9 Be 0.689 0.640 0.265
10 Be 0.689 0.860 0.765
11 Be 0.971 0.642 0.085
12 Be 0.971 0.858 0.585
13 V 0.328 0.066 0.076
14 V 0.328 0.434 0.576
15 V 0.334 0.059 0.589
16 V 0.334 0.441 0.089
17 V 0.666 0.559 0.911
18 V 0.666 0.941 0.411
19 V 0.672 0.566 0.424
20 V 0.672 0.934 0.924
21 Si 0.034 0.740 0.919
22 Si 0.034 0.760 0.419
23 Si 0.300 0.740 0.733
24 Si 0.300 0.760 0.233
25 Si 0.339 0.240 0.899
26 Si 0.339 0.260 0.399
27 Si 0.661 0.740 0.601
28 Si 0.661 0.760 0.101
29 Si 0.700 0.240 0.767
30 Si 0.700 0.260 0.267
31 Si 0.966 0.240 0.581
32 Si 0.966 0.260 0.081
33 O 0.102 0.245 0.025
34 O 0.102 0.255 0.525
35 O 0.114 0.247 0.863
36 O 0.114 0.253 0.363
37 O 0.122 0.249 0.194
38 O 0.122 0.251 0.694
39 O 0.149 0.545 0.961
40 O 0.149 0.955 0.461
41 O 0.210 0.605 0.145
42 O 0.210 0.895 0.645
43 O 0.215 0.611 0.464
44 O 0.215 0.889 0.964
45 O 0.228 0.736 0.810
46 O 0.228 0.764 0.310
47 O 0.278 0.549 0.673
48 O 0.278 0.951 0.173
49 O 0.419 0.040 0.887
50 O 0.419 0.460 0.387
51 O 0.436 0.114 0.355
52 O 0.436 0.386 0.855
53 O 0.446 0.239 0.523
54 O 0.446 0.261 0.023
55 O 0.454 0.242 0.196
56 O 0.454 0.258 0.696
57 O 0.546 0.742 0.304
58 O 0.546 0.758 0.804
59 O 0.554 0.739 0.977
60 O 0.554 0.761 0.477
61 O 0.564 0.614 0.145
62 O 0.564 0.886 0.645
63 O 0.581 0.540 0.613
64 O 0.581 0.960 0.113
65 O 0.722 0.049 0.827
66 O 0.722 0.451 0.327
67 O 0.772 0.236 0.690
68 O 0.772 0.264 0.190
69 O 0.785 0.111 0.036
70 O 0.785 0.389 0.536
71 O 0.790 0.105 0.355
72 O 0.790 0.395 0.855
73 O 0.851 0.045 0.539
74 O 0.851 0.455 0.039
75 O 0.878 0.749 0.306
76 O 0.878 0.751 0.806
77 O 0.886 0.747 0.637
78 O 0.886 0.753 0.137
79 O 0.898 0.745 0.475
80 O 0.898 0.755 0.975

***

# 4
VASP calculation (GGA-PBEsol) on a relaxed BeSnO3 crystal.

Calculated values
* E_form (uncorrected): -1.230 eV per atom
* space-group type: No. 221
* calculated volume: 8.619 Å³/atom
* magnetic moment: 0.00 μB per cell

abc: 3.506 3.506 3.506
angles: 90.00 90.00 90.00
Atoms (fractional coordinates):
1 Be 0.000 0.000 0.000
2 Sn 0.500 0.500 0.500
3 O 0.000 0.000 0.500
4 O 0.000 0.500 0.000
5 O 0.500 0.000 0.000

***

# 5
VASP calculation (GGA-PBEsol) on a relaxed SrBe3O crystal.

Calculated values
* E_form (uncorrected): 2.551 eV per atom
* space-group type: No. 221
* calculated volume: 40.689 Å³/atom
* magnetic moment: 0.65 μB per cell

abc: 5.881 5.881 5.881
angles: 90.00 90.00 90.00
Atoms (fractional coordinates):
1 Sr 0.000 0.000 0.000
2 Be 0.000 0.000 0.500
3 Be 0.000 0.500 0.000
4 Be 0.500 0.000 0.000
5 O 0.500 0.500 0.500

***

# 6
VASP calculation (GGA-PBEsol) on a relaxed Ta2BeO6 crystal.

Calculated values
* E_form (uncorrected): -2.721 eV per atom
* space-group type: No. 62
* calculated volume: 11.411 Å³/atom
* magnetic moment: 0.00 μB per cell

abc: 11.322 7.369 4.924
angles: 90.00 90.00 90.00
Atoms (fractional coordinates):
1 Ta 0.134 0.003 0.110
2 Ta 0.134 0.497 0.110
3 Ta 0.366 0.503 0.610
4 Ta 0.366 0.997 0.610
5 Ta 0.634 0.003 0.390
6 Ta 0.634 0.497 0.390
7 Ta 0.866 0.503 0.890
8 Ta 0.866 0.997 0.890
9 Be 0.062 0.750 0.601
10 Be 0.438 0.250 0.101
11 Be 0.562 0.750 0.899
12 Be 0.938 0.250 0.399
13 O 0.036 0.575 0.775
14 O 0.036 0.925 0.775
15 O 0.102 0.750 0.295
16 O 0.143 0.250 0.996
17 O 0.227 0.066 0.420
18 O 0.227 0.434 0.420
19 O 0.273 0.566 0.920
20 O 0.273 0.934 0.920
21 O 0.357 0.750 0.496
22 O 0.398 0.250 0.795
23 O 0.464 0.075 0.275
24 O 0.464 0.425 0.275
25 O 0.536 0.575 0.725
26 O 0.536 0.925 0.725
27 O 0.602 0.750 0.205
28 O 0.643 0.250 0.504
29 O 0.727 0.066 0.080
30 O 0.727 0.434 0.080
31 O 0.773 0.566 0.580
32 O 0.773 0.934 0.580
33 O 0.857 0.750 0.004
34 O 0.898 0.250 0.705
35 O 0.964 0.075 0.225
36 O 0.964 0.425 0.225

***

# 7
VASP calculation (GGA-PBEsol) on a relaxed BeTc3O crystal.

Calculated values
* E_form (uncorrected): 1.506 eV per atom
* space-group type: No. 221
* calculated volume: 13.158 Å³/atom
* magnetic moment: 0.00 μB per cell

abc: 4.037 4.037 4.037
angles: 90.00 90.00 90.00
Atoms (fractional coordinates):
1 Be 0.000 0.000 0.000
2 Tc 0.000 0.000 0.500
3 Tc 0.000 0.500 0.000
4 Tc 0.500 0.000 0.000
5 O 0.500 0.500 0.500

***

# 8
VASP calculation (GGA-PBEsol) on a relaxed BeTcTe2O crystal.

Calculated values
* E_form (uncorrected): 0.780 eV per atom
* space-group type: No. 123
* calculated volume: 20.786 Å³/atom
* magnetic moment: 0.67 μB per cell

abc: 4.958 4.958 4.227
angles: 90.00 90.00 90.00
Atoms (fractional coordinates):
1 Be 0.000 0.000 0.000
2 Tc 0.000 0.000 0.500
3 Te 0.000 0.500 0.500
4 Te 0.500 0.000 0.500
5 O 0.500 0.500 0.000

***

# 9
VASP calculation (GGA-PBEsol) on a relaxed ZrBeTcO2 crystal.

Calculated values
* E_form (uncorrected): -0.320 eV per atom
* space-group type: No. 123
* calculated volume: 16.309 Å³/atom
* magnetic moment: 2.93 μB per cell

abc: 3.917 3.917 5.315
angles: 90.00 90.00 90.00
Atoms (fractional coordinates):
1 Zr 0.000 0.000 0.000
2 Be 0.000 0.000 0.500
3 Tc 0.500 0.500 0.500
4 O 0.000 0.500 0.000
5 O 0.500 0.000 0.000

***

# 10
VASP calculation (GGA-PBEsol) on a relaxed Zr2BeTcO crystal.

Calculated values
* E_form (uncorrected): 0.308 eV per atom
* space-group type: No. 123
* calculated volume: 18.978 Å³/atom
* magnetic moment: 0.00 μB per cell

abc: 5.096 5.096 3.654
angles: 90.00 90.00 90.00
Atoms (fractional coordinates):
1 Zr 0.000 0.500 0.000
2 Zr 0.500 0.000 0.000
3 Be 0.000 0.000 0.500
4 Tc 0.500 0.500 0.000
5 O 0.500 0.500 0.500

***

# 11
VASP calculation (GGA-PBEsol) on a relaxed Be2TeO crystal.

Calculated values
* E_form (uncorrected): 0.422 eV per atom
* space-group type: No. 225
* calculated volume: 12.809 Å³/atom
* magnetic moment: 1.02 μB per cell

abc: 5.896 5.896 5.896
angles: 90.00 90.00 90.00
Atoms (fractional coordinates):
1 Be 0.250 0.250 0.250
2 Be 0.250 0.250 0.750
3 Be 0.250 0.750 0.250
4 Be 0.250 0.750 0.750
5 Be 0.750 0.250 0.250
6 Be 0.750 0.250 0.750
7 Be 0.750 0.750 0.250
8 Be 0.750 0.750 0.750
9 Te 0.000 0.000 0.000
10 Te 0.000 0.500 0.500
11 Te 0.500 0.000 0.500
12 Te 0.500 0.500 0.000
13 O 0.000 0.000 0.500
14 O 0.000 0.500 0.000
15 O 0.500 0.000 0.000
16 O 0.500 0.500 0.500

***

# 12
VASP calculation (GGA-PBEsol) on a relaxed TiBeO2 crystal.

Calculated values
* E_form (uncorrected): -2.245 eV per atom
* space-group type: No. 122
* calculated volume: 9.457 Å³/atom
* magnetic moment: 7.95 μB per cell

abc: 4.423 4.423 7.736
angles: 90.00 90.00 90.00
Atoms (fractional coordinates):
1 Ti 0.000 0.000 0.000
2 Ti 0.000 0.500 0.250
3 Ti 0.500 0.000 0.750
4 Ti 0.500 0.500 0.500
5 Be 0.000 0.000 0.500
6 Be 0.000 0.500 0.750
7 Be 0.500 0.000 0.250
8 Be 0.500 0.500 0.000
9 O 0.174 0.750 0.625
10 O 0.250 0.174 0.375
11 O 0.250 0.326 0.875
12 O 0.326 0.750 0.125
13 O 0.674 0.250 0.125
14 O 0.750 0.674 0.875
15 O 0.750 0.826 0.375
16 O 0.826 0.250 0.625